Here is an optimized crystal structure of SmBr4N2 from Alexandria. Energies are from PBE.

Uncorrected formation energy, eV/atom: 0.52
Total energy, eV per cell: -48.91
DOS at the Fermi energy, states/eV/cell: 0.4

The structure in CIF format:
```
data_SmBr4N2
_cell_length_a 19.2355
_cell_length_b 4.2596
_cell_length_c 7.0267
_cell_angle_alpha 90.00
_cell_angle_beta 111.31
_cell_angle_gamma 90.00
_space_group_name_H-M_alt 'C 1 2/m 1'
_space_group_IT_number 12
loop_
_space_group_symop_operation_xyz
'x,y,z'
'-x,-y,-z'
'-x,y,-z'
'x,-y,z'
'x+1/2,y+1/2,z'
'-x+1/2,-y+1/2,-z'
'-x+1/2,y+1/2,-z'
'x+1/2,-y+1/2,z'
loop_
_atom_site_label
_atom_site_type_symbol
_atom_site_fract_x
_atom_site_fract_y
_atom_site_fract_z
Sm1 Sm 0.0000 0.0000 0.0000
Br1 Br 0.0638 0.0000 0.4407
Br2 Br 0.1017 0.5000 0.0029
N1 N 0.2340 0.5000 0.7324
```